[1]
Density functional theory data (GGA-PBE) for a geometry-optimized FeSb3 structure.

The structure in CIF format:
```
data_FeSb3
_space_group_name_H-M_alt 'I m -3'
_space_group_IT_number 204
_space_group_name_Hall '-I 2 2 3'
_cell_length_a 9.164
_cell_length_b 9.164
_cell_length_c 9.164
_cell_angle_alpha 90.00
_cell_angle_beta 90.00
_cell_angle_gamma 90.00
loop_
_atom_site_label
_atom_site_type_symbol
_atom_site_fract_x
_atom_site_fract_y
_atom_site_fract_z
Fe1 Fe 0.250 0.250 0.250
Sb1 Sb 0.000 0.331 0.160
```

## Properties
* total energy: -5.197 eV/atom
* size of the total moment: 1.0 μB/f.u.

=====

[2]
Density functional theory data (GGA-PBE) for a geometry-optimized PmZnHg structure.

The structure in CIF format:
```
data_PmZnHg
_space_group_name_H-M_alt 'F -4 3 m'
_space_group_IT_number 216
_space_group_name_Hall 'F -4 2 3'
_cell_length_a 6.717
_cell_length_b 6.717
_cell_length_c 6.717
_cell_angle_alpha 90.00
_cell_angle_beta 90.00
_cell_angle_gamma 90.00
loop_
_atom_site_label
_atom_site_type_symbol
_atom_site_fract_x
_atom_site_fract_y
_atom_site_fract_z
Pm1 Pm 0.000 0.000 0.000
Zn1 Zn 0.250 0.250 0.750
Hg1 Hg 0.000 0.000 0.500
```

## Properties
* energy relative to the elements: -0.266 eV/atom
* size of the total moment: 0.0 μB/f.u.

=====

[3]
Density functional theory data (GGA-PBE) for a geometry-optimized Lu2ZnOs structure.

The structure in CIF format:
```
data_Lu2ZnOs
_space_group_name_H-M_alt 'P 63/m m c'
_space_group_IT_number 194
_space_group_name_Hall '-P 6c 2c'
_cell_length_a 4.6449
_cell_length_b 4.6449
_cell_length_c 8.8488
_cell_angle_alpha 90.00
_cell_angle_beta 90.00
_cell_angle_gamma 120.00
loop_
_atom_site_label
_atom_site_type_symbol
_atom_site_fract_x
_atom_site_fract_y
_atom_site_fract_z
Lu1 Lu 0.3333 0.6667 0.0894
Zn1 Zn 0.0000 0.0000 0.2500
Os1 Os 0.3333 0.6667 0.7500
```

## Properties
* energy relative to the elements: -0.149 eV/atom
* size of the total moment: 0.0 μB/f.u.

=====

[4]
Density functional theory data (GGA-PBE) for a geometry-optimized Tm2Sn2O5 structure.

The structure in CIF format:
```
data_Tm2Sn2O5
_space_group_name_H-M_alt 'P 4/m m m'
_space_group_IT_number 123
_space_group_name_Hall '-P 4 2'
_cell_length_a 4.213
_cell_length_b 4.213
_cell_length_c 6.882
_cell_angle_alpha 90.00
_cell_angle_beta 90.00
_cell_angle_gamma 90.00
loop_
_atom_site_label
_atom_site_type_symbol
_atom_site_fract_x
_atom_site_fract_y
_atom_site_fract_z
Tm1 Tm 0.000 0.000 0.000
Tm2 Tm 0.000 0.000 0.500
Sn1 Sn 0.500 0.500 0.206
O1 O 0.000 0.500 0.247
O2 O 0.500 0.500 0.500
```

## Properties
* total energy: -6.279 eV/atom
* size of the total moment: 0.9 μB/f.u.

=====

[5]
Density functional theory data (GGA-PBE) for a geometry-optimized TbGdOs2N2O2 structure.

The structure in CIF format:
```
data_TbGdOs2N2O2
_space_group_name_H-M_alt 'P 4 m m'
_space_group_IT_number 99
_space_group_name_Hall 'P 4 -2'
_cell_length_a 3.819
_cell_length_b 3.819
_cell_length_c 7.615
_cell_angle_alpha 90.00
_cell_angle_beta 90.00
_cell_angle_gamma 90.00
loop_
_atom_site_label
_atom_site_type_symbol
_atom_site_fract_x
_atom_site_fract_y
_atom_site_fract_z
Tb1 Tb 0.000 0.000 0.000
Gd1 Gd 0.500 0.500 0.302
Os1 Os 0.000 0.500 0.651
N1 N 0.000 0.000 0.527
N2 N 0.500 0.500 0.776
O1 O 0.000 0.500 0.149
```

## Properties
* total energy: -8.545 eV/atom
* size of the total moment: 0.0 μB/f.u.

=====

[6]
Density functional theory data (GGA-PBE) for a geometry-optimized Nd2Sc2I5N structure.

The structure in CIF format:
```
data_Nd2Sc2I5N
_space_group_name_H-M_alt 'C 1 2/m 1'
_space_group_IT_number 12
_space_group_name_Hall '-C 2y'
_cell_length_a 20.588
_cell_length_b 3.887
_cell_length_c 8.747
_cell_angle_alpha 90.00
_cell_angle_beta 101.97
_cell_angle_gamma 90.00
loop_
_atom_site_label
_atom_site_type_symbol
_atom_site_fract_x
_atom_site_fract_y
_atom_site_fract_z
Nd1 Nd 0.000 0.000 0.194
Sc1 Sc 0.108 0.500 0.053
I1 I 0.000 0.500 0.500
I2 I 0.157 0.000 0.306
I3 I 0.157 0.000 0.847
N1 N 0.000 0.500 0.000
```

## Properties
* total energy: -5.098 eV/atom
* size of the total moment: 0.0 μB/f.u.

=====

[7]
Density functional theory data (GGA-PBE) for a geometry-optimized Ta2Se3S structure.

The structure in CIF format:
```
data_Ta2Se3S
_space_group_name_H-M_alt 'C 1 m 1'
_space_group_IT_number 8
_space_group_name_Hall 'C -2y'
_cell_length_a 23.200
_cell_length_b 3.437
_cell_length_c 5.965
_cell_angle_alpha 90.00
_cell_angle_beta 90.10
_cell_angle_gamma 90.00
loop_
_atom_site_label
_atom_site_type_symbol
_atom_site_fract_x
_atom_site_fract_y
_atom_site_fract_z
Ta1 Ta 0.000 0.000 0.000
Ta2 Ta 0.001 0.500 0.477
Se1 Se 0.072 0.000 0.657
Se2 Se 0.425 0.000 0.154
Se3 Se 0.429 0.500 0.657
S1 S 0.066 0.500 0.153
```

## Properties
* total energy: -7.259 eV/atom
* size of the total moment: 0.0 μB/f.u.

=====

[8]
Density functional theory data (GGA-PBE) for a geometry-optimized NbAgSeO structure.

The structure in CIF format:
```
data_NbAgSeO
_space_group_name_H-M_alt 'P 1 21/c 1'
_space_group_IT_number 14
_space_group_name_Hall '-P 2ybc'
_cell_length_a 7.788
_cell_length_b 5.909
_cell_length_c 5.685
_cell_angle_alpha 90.00
_cell_angle_beta 95.86
_cell_angle_gamma 90.00
loop_
_atom_site_label
_atom_site_type_symbol
_atom_site_fract_x
_atom_site_fract_y
_atom_site_fract_z
Nb1 Nb 0.067 0.025 0.222
Ag1 Ag 0.413 0.684 0.100
Se1 Se 0.270 0.112 0.887
O1 O 0.062 0.714 0.016
```

## Properties
* total energy: -6.213 eV/atom
* size of the total moment: 0.0 μB/f.u.

=====

Look up the size of the total moment of the seventh one.
0.0 μB/f.u.

=====

Number 8 is which compound?
NbAgSeO

=====

Copy entry 8 word for word.
Density functional theory data (GGA-PBE) for a geometry-optimized NbAgSeO structure.

The structure in CIF format:
```
data_NbAgSeO
_space_group_name_H-M_alt 'P 1 21/c 1'
_space_group_IT_number 14
_space_group_name_Hall '-P 2ybc'
_cell_length_a 7.788
_cell_length_b 5.909
_cell_length_c 5.685
_cell_angle_alpha 90.00
_cell_angle_beta 95.86
_cell_angle_gamma 90.00
loop_
_atom_site_label
_atom_site_type_symbol
_atom_site_fract_x
_atom_site_fract_y
_atom_site_fract_z
Nb1 Nb 0.067 0.025 0.222
Ag1 Ag 0.413 0.684 0.100
Se1 Se 0.270 0.112 0.887
O1 O 0.062 0.714 0.016
```

## Properties
* total energy: -6.213 eV/atom
* size of the total moment: 0.0 μB/f.u.

=====

size of the total moment of number 6 (Nd2Sc2I5N)?
0.0 μB/f.u.